# CaMnSb2 PBE-GGA relaxed
# - N(E_F): 3.71 states/eV/cell
# - E: -5.050 eV/atom
data_CaMnSb2
_cell_length_a 4.311
_cell_length_b 4.311
_cell_length_c 10.499
_cell_angle_alpha 90.00
_cell_angle_beta 90.00
_cell_angle_gamma 90.00
_space_group_name_H-M_alt 'I -4 m 2'
_space_group_IT_number 119
_space_group_name_Hall 'I -4 -2'
loop_
_atom_site_label
_atom_site_type_symbol
_atom_site_fract_x
_atom_site_fract_y
_atom_site_fract_z
Ca1 Ca 0.000 0.000 0.000
Mn1 Mn 0.000 0.500 0.750
Sb1 Sb 0.000 0.000 0.500
Sb2 Sb 0.000 0.500 0.250